No. 1
A relaxed structure of Ac2NdMg, computed with GGA-PBE.

Geometry as CIF:
```
data_Ac2NdMg
_chemical_formula_sum 'Ac8 Nd4 Mg4'
_space_group_name_H-M_alt 'F m -3 m'
_space_group_IT_number 225
_space_group_name_Hall '-F 4 2 3'
_cell_length_a 8.4278
_cell_length_b 8.4278
_cell_length_c 8.4278
_cell_angle_alpha 90.00
_cell_angle_beta 90.00
_cell_angle_gamma 90.00
loop_
_atom_site_label
_atom_site_type_symbol
_atom_site_fract_x
_atom_site_fract_y
_atom_site_fract_z
_atom_site_occupancy
Ac1 Ac 0.2500 0.2500 0.2500 1
Nd1 Nd 0.0000 0.0000 0.0000 1
Mg1 Mg 0.0000 0.0000 0.5000 1
```

Properties
ΔE to the lowest computed polymorph   75 meV per atom
DFT formation energy   5.0 kJ/mol of atoms

=====

No. 2
A relaxed structure of CaAlGaAg, computed with GGA-PBE.

Geometry as CIF:
```
data_CaAlGaAg
_chemical_formula_sum 'Ca4 Al4 Ga4 Ag4'
_space_group_name_H-M_alt 'F -4 3 m'
_space_group_IT_number 216
_space_group_name_Hall 'F -4 2 3'
_cell_length_a 6.8561
_cell_length_b 6.8561
_cell_length_c 6.8561
_cell_angle_alpha 90.00
_cell_angle_beta 90.00
_cell_angle_gamma 90.00
loop_
_atom_site_label
_atom_site_type_symbol
_atom_site_fract_x
_atom_site_fract_y
_atom_site_fract_z
_atom_site_occupancy
Ca1 Ca 0.0000 0.0000 0.0000 1
Al1 Al 0.0000 0.0000 0.5000 1
Ga1 Ga 0.2500 0.2500 0.7500 1
Ag1 Ag 0.2500 0.2500 0.2500 1
```

Properties
DFT formation energy   -22.3 kJ/mol of atoms

=====

No. 3
A relaxed structure of FeGeN, computed with GGA-PBE.

Geometry as CIF:
```
data_FeGeN
_chemical_formula_sum 'Fe2 Ge2 N2'
_space_group_name_H-M_alt 'A m m 2'
_space_group_IT_number 38
_cell_length_a 2.7448
_cell_length_b 2.9837
_cell_length_c 9.0935
_cell_angle_alpha 90.00
_cell_angle_beta 90.00
_cell_angle_gamma 90.00
loop_
_space_group_symop_operation_xyz
'x,y,z'
'-x,-y,z'
'-x,y,z'
'x,-y,z'
'x,y+1/2,z+1/2'
'-x,-y+1/2,z+1/2'
'-x,y+1/2,z+1/2'
'x,-y+1/2,z+1/2'
loop_
_atom_site_label
_atom_site_type_symbol
_atom_site_fract_x
_atom_site_fract_y
_atom_site_fract_z
_atom_site_occupancy
Fe1 Fe 0.0000 0.0000 0.0000 1
Ge1 Ge 0.5000 0.0000 0.7809 1
N1 N 0.5000 0.0000 0.1468 1
```

Properties
ΔE to the lowest computed polymorph   4 meV per atom
E_form (uncorrected)   0.1721 eV per atom

=====

No. 4
A relaxed structure of CeAg4Sb, computed with GGA-PBE.

Geometry as CIF:
```
data_CeAg4Sb
_chemical_formula_sum 'Ce4 Ag16 Sb4'
_space_group_name_H-M_alt 'F -4 3 m'
_space_group_IT_number 216
_space_group_name_Hall 'F -4 2 3'
_cell_length_a 8.0673
_cell_length_b 8.0673
_cell_length_c 8.0673
_cell_angle_alpha 90.00
_cell_angle_beta 90.00
_cell_angle_gamma 90.00
loop_
_atom_site_label
_atom_site_type_symbol
_atom_site_fract_x
_atom_site_fract_y
_atom_site_fract_z
_atom_site_occupancy
Ce1 Ce 0.0000 0.0000 0.0000 1
Ag1 Ag 0.1250 0.1250 0.6250 1
Sb1 Sb 0.2500 0.2500 0.2500 1
```

Properties
E_form (uncorrected)   -0.1386 eV per atom